BeSb3Au after structural relaxation, computed with PBE-GGA.

Geometry as extended XYZ:
```
5
Lattice="-0.730 -2.273 -4.265 -3.755 -2.449 1.947 -3.042 3.568 -1.381" Properties=species:S:1:pos:R:3 pbc="T T T"
Sb -1.878 -1.224 0.974
Sb -1.521 1.784 -0.690
Sb -0.365 -1.136 -2.133
Au -3.764 -0.577 -1.849
Be 0.000 0.000 0.000
```

Properties
For the final energy, the calculation gives -3.35 eV per atom. As for the space-group type: Pm-3m (221). The energy above the lowest structure with this stoichiometry is 0 meV/atom. For the magnetic moment, the calculation gives 0.0 Bohr magnetons per cell. As for the formation energy without anion corrections: 2.60 eV per formula unit.

Be2SbAu after structural relaxation, computed with PBE-GGA.

Geometry as extended XYZ:
```
4
Lattice="-0.931 -3.297 -3.014 3.659 1.883 -1.974 -0.041 -2.147 4.027" Properties=species:S:1:pos:R:3 pbc="T T T"
Sb 0.196 -3.076 -0.741
Au 2.491 -0.486 -0.221
Be 0.154 -0.080 -0.281
Be 1.210 -0.628 -2.213
```

Properties
For the final energy, the calculation gives -3.35 eV per atom. As for the space-group type: Immm (71). For the magnetic moment, the calculation gives 0.0 Bohr magnetons per cell. As for the formation energy without anion corrections: 1.46 eV per formula unit.

Be2SbAu after structural relaxation, computed with PBE-GGA.

Geometry as extended XYZ:
```
4
Lattice="-0.226 5.164 2.466 -2.669 2.830 4.204 1.044 2.619 4.985" Properties=species:S:1:pos:R:3 pbc="T T T"
Sb -0.965 5.538 6.082
Au -1.312 7.526 8.265
Be -1.798 10.317 11.330
Be -0.550 3.152 3.462
```

Properties
For the final energy, the calculation gives -3.48 eV per atom. As for the space-group type: R3m (160). For the magnetic moment, the calculation gives 0.0 Bohr magnetons per cell. As for the formation energy without anion corrections: 0.91 eV per formula unit.

BeSbAu2 after structural relaxation, computed with PBE-GGA.

Geometry as extended XYZ:
```
4
Lattice="-1.525 1.231 -2.278 2.044 -1.047 -1.934 -4.233 -6.756 -0.818" Properties=species:S:1:pos:R:3 pbc="T T T"
Sb -2.915 -4.975 -2.719
Au -0.301 -0.480 -0.058
Au -1.816 -2.898 -0.351
Be -0.799 -1.597 -2.310
```

Properties
For the final energy, the calculation gives -3.57 eV per atom. As for the space-group type: P4/mmm (123). The energy above the lowest structure with this stoichiometry is 45 meV/atom. For the magnetic moment, the calculation gives 0.0 Bohr magnetons per cell. As for the formation energy without anion corrections: 0.12 eV per formula unit.